No. 1
First-principles (PBE) data for a relaxed structure of Ti3AuN, as listed in Alexandria.

abc: 20.872 9.367 9.367
angles: 160.77 162.39 17.61
Atoms (fractional coordinates):
Ti  0.495  0.323  0.677
Ti  0.211  0.856  0.144
N  0.846  0.971  0.029
Au  0.234  0.204  0.796
Ti  0.789  0.144  0.856
N  0.154  0.029  0.971
Ti  0.078  0.223  0.777
Ti  0.922  0.777  0.223
Au  0.766  0.796  0.204
Ti  0.505  0.677  0.323

Calculated values
Calculated density (g/cm³): 7.6
Uncorrected formation energy (meV per atom): -694

***

No. 2
First-principles (PBE) data for a relaxed structure of Rb2PaC2N6, as listed in Alexandria.

abc: 5.588 5.588 7.455
angles: 112.02 90.00 120.00
Atoms (fractional coordinates):
N  0.242  0.068  0.310
N  0.242  0.485  0.311
N  0.174  0.932  0.690
N  0.758  0.932  0.690
N  0.826  0.068  0.310
C  0.103  0.206  0.310
Rb  0.294  0.587  0.881
Rb  0.706  0.413  0.119
Pa  0.500  0.000  0.500
N  0.758  0.515  0.689
C  0.897  0.794  0.690

Calculated values
Calculated density (g/cm³): 4.7
Uncorrected formation energy (meV per atom): -238

***

No. 3
First-principles (PBE) data for a relaxed structure of Li2CaYW, as listed in Alexandria.

abc: 4.683 5.263 4.683
angles: 90.00 90.00 90.00
Atoms (fractional coordinates):
Ca  0.000  0.500  0.000
Li  0.000  0.000  0.500
Li  0.500  0.000  0.000
Y  0.000  0.000  0.000
W  0.500  0.500  0.500

Calculated values
E_form (eV per atom): 2.045
Calculated density (g/cm³): 4.7

***

No. 4
First-principles (PBE) data for a relaxed structure of TbPmTmAl, as listed in Alexandria.

abc: 5.372 5.372 5.372
angles: 60.00 60.00 60.00
Atoms (fractional coordinates):
Al  0.250  0.250  0.250
Tm  0.750  0.750  0.750
Tb  0.000  0.000  0.000
Pm  0.500  0.500  0.500

Calculated values
Energy relative to the lowest polymorph listed for this composition (meV/atom): 122
E_form (eV per atom): -0.072
Calculated density (g/cm³): 7.6

***

No. 5
First-principles (PBE) data for a relaxed structure of NaTl2Pb8, as listed in Alexandria.

abc: 4.922 7.883 9.390
angles: 104.34 105.19 90.00
Atoms (fractional coordinates):
Pb  0.681  0.911  0.363
Na  0.500  0.000  0.000
Pb  0.955  0.270  0.909
Tl  0.772  0.367  0.544
Pb  0.319  0.089  0.637
Pb  0.137  0.176  0.274
Pb  0.411  0.540  0.821
Pb  0.045  0.730  0.091
Pb  0.863  0.824  0.726
Pb  0.589  0.460  0.179
Tl  0.228  0.633  0.456

Calculated values
E_form (eV per atom): -0.036
Calculated density (g/cm³): 10.2

***

No. 6
First-principles (PBE) data for a relaxed structure of Mn2NbGeH, as listed in Alexandria.

abc: 3.806 3.806 4.074
angles: 90.00 90.00 90.00
Atoms (fractional coordinates):
Nb  0.000  0.000  0.500
Mn  0.500  0.000  0.000
Ge  0.500  0.500  0.500
H  0.000  0.000  0.000
Mn  0.000  0.500  0.000

Calculated values
Final energy (eV/cell): -37.05
Calculated density (g/cm³): 7.8